## Li4Mn3V5O16 (GGA+U)

Data for a relaxed structure of Li4Mn3V5O16.

POSCAR file:
```
Li4Mn3V5O16
1.0
-2.488 -4.994 1.735
2.893 -0.033 -5.142
7.991 -2.202 4.814
Li Mn V O
4 3 5 16
direct
0.340 0.686 0.102
0.997 0.007 0.008
0.007 0.987 0.507
0.667 0.329 0.600
0.169 0.341 0.789
0.345 0.173 0.286
0.835 0.164 0.289
0.167 0.829 0.782
0.336 0.651 0.513
0.655 0.837 0.789
0.840 0.657 0.285
0.665 0.349 0.012
0.160 0.792 0.408
0.464 0.961 0.657
0.317 0.674 0.895
0.002 0.003 0.694
0.004 0.993 0.195
0.668 0.796 0.400
0.039 0.520 0.660
0.492 0.536 0.650
0.829 0.675 0.897
0.168 0.312 0.408
0.536 0.501 0.146
0.968 0.504 0.155
0.674 0.333 0.390
0.322 0.174 0.906
0.528 0.052 0.157
0.803 0.164 0.910
```

Calculated values
Crystal system: triclinic
Calculated volume in A^3/atom: 10.5
Final energy in eV/cell: -200.8